! PBE KCoW, optimized geometry; values from VASP
&SYSTEM
  ibrav = 0, nat = 3, ntyp = 3
/
ATOMIC_SPECIES
K 39.10 K.upf
Co 58.93 Co.upf
W 183.84 W.upf
CELL_PARAMETERS angstrom
2.886 0.000 0.000
-1.443 2.500 0.000
0.000 0.000 7.845
ATOMIC_POSITIONS crystal
K 0.000 0.000 0.000
Co 0.333 0.667 0.640
W 0.667 0.333 0.406
! Symmetry: No. 156
! Energy above the most stable polymorph in this dataset in meV/atom: 115
! Formation energy in meV/atom: 1047
! Calculated volume in Å³/f.u.: 56.6

---

! PBE KCo4W, optimized geometry; values from VASP
&SYSTEM
  ibrav = 0, nat = 6, ntyp = 3
/
ATOMIC_SPECIES
K 39.10 K.upf
Co 58.93 Co.upf
W 183.84 W.upf
CELL_PARAMETERS angstrom
0.000 3.453 3.453
3.453 0.000 3.453
3.453 3.453 0.000
ATOMIC_POSITIONS crystal
K 0.000 0.000 0.000
Co 0.376 0.376 0.376
Co 0.376 0.376 0.872
Co 0.376 0.872 0.376
Co 0.872 0.376 0.376
W 0.750 0.750 0.750
! Symmetry: No. 216
! Formation energy in meV/atom: 920
! Calculated volume in Å³/f.u.: 82.4

---

! PBE KCoW2, optimized geometry; values from VASP
&SYSTEM
  ibrav = 0, nat = 4, ntyp = 3
/
ATOMIC_SPECIES
K 39.10 K.upf
Co 58.93 Co.upf
W 183.84 W.upf
CELL_PARAMETERS angstrom
4.318 -1.368 0.000
4.318 1.368 0.000
-0.450 0.000 7.561
ATOMIC_POSITIONS crystal
K 0.000 0.000 0.000
Co 0.759 0.759 0.361
W 0.230 0.230 0.635
W 0.490 0.490 0.460
! Symmetry: No. 8
! Energy above the most stable polymorph in this dataset in meV/atom: 231
! Formation energy in meV/atom: 1037
! Calculated volume in Å³/f.u.: 89.3

---

! PBE KCo2W, optimized geometry; values from VASP
&SYSTEM
  ibrav = 0, nat = 4, ntyp = 3
/
ATOMIC_SPECIES
K 39.10 K.upf
Co 58.93 Co.upf
W 183.84 W.upf
CELL_PARAMETERS angstrom
-1.497 2.947 4.645
1.497 -2.947 4.645
1.497 2.947 -4.645
ATOMIC_POSITIONS crystal
K 0.000 0.000 0.000
Co 0.312 0.812 0.500
Co 0.688 0.188 0.500
W 0.500 0.500 0.000
! Symmetry: No. 71
! Energy above the most stable polymorph in this dataset in meV/atom: 758
! Formation energy in meV/atom: 1327
! Calculated volume in Å³/f.u.: 82.0

---

! PBE KCoW2, optimized geometry; values from VASP
&SYSTEM
  ibrav = 0, nat = 4, ntyp = 3
/
ATOMIC_SPECIES
K 39.10 K.upf
Co 58.93 Co.upf
W 183.84 W.upf
CELL_PARAMETERS angstrom
2.717 0.000 0.000
0.000 2.717 0.000
0.000 0.000 9.936
ATOMIC_POSITIONS crystal
K 0.000 0.000 0.000
Co 0.000 0.000 0.500
W 0.500 0.500 0.321
W 0.500 0.500 0.679
! Symmetry: No. 123
! Energy above the most stable polymorph in this dataset in meV/atom: 136
! Formation energy in meV/atom: 942
! Calculated volume in Å³/f.u.: 73.3

---

! PBE KCoW2, optimized geometry; values from VASP
&SYSTEM
  ibrav = 0, nat = 4, ntyp = 3
/
ATOMIC_SPECIES
K 39.10 K.upf
Co 58.93 Co.upf
W 183.84 W.upf
CELL_PARAMETERS angstrom
4.918 0.000 0.000
0.000 4.918 0.000
0.000 0.000 2.715
ATOMIC_POSITIONS crystal
K 0.000 0.000 0.000
Co 0.500 0.500 0.000
W 0.000 0.500 0.500
W 0.500 0.000 0.500
! Symmetry: No. 123
! Energy above the most stable polymorph in this dataset in meV/atom: 1242
! Formation energy in meV/atom: 2048
! Calculated volume in Å³/f.u.: 65.7

---

! PBE KCo2W, optimized geometry; values from VASP
&SYSTEM
  ibrav = 0, nat = 4, ntyp = 3
/
ATOMIC_SPECIES
K 39.10 K.upf
Co 58.93 Co.upf
W 183.84 W.upf
CELL_PARAMETERS angstrom
0.000 3.116 3.116
3.116 0.000 3.116
3.116 3.116 0.000
ATOMIC_POSITIONS crystal
K 0.000 0.000 0.000
Co 0.250 0.250 0.250
Co 0.500 0.500 0.500
W 0.750 0.750 0.750
! Symmetry: No. 216
! Energy above the most stable polymorph in this dataset in meV/atom: 1113
! Formation energy in meV/atom: 1682
! Calculated volume in Å³/f.u.: 60.5

---

! PBE KCoW2, optimized geometry; values from VASP
&SYSTEM
  ibrav = 0, nat = 4, ntyp = 3
/
ATOMIC_SPECIES
K 39.10 K.upf
Co 58.93 Co.upf
W 183.84 W.upf
CELL_PARAMETERS angstrom
-1.893 1.893 5.000
1.893 -1.893 5.000
1.893 1.893 -5.000
ATOMIC_POSITIONS crystal
K 0.000 0.000 0.000
Co 0.500 0.500 0.000
W 0.250 0.750 0.500
W 0.750 0.250 0.500
! Symmetry: No. 139
! Energy above the most stable polymorph in this dataset in meV/atom: 992
! Formation energy in meV/atom: 1798
! Calculated volume in Å³/f.u.: 71.7

---

Question: Which value of formation energy does entry 6 give?
Answer: 2048 meV/atom

---

Please write out number 4 again, unchanged.
! PBE KCo2W, optimized geometry; values from VASP
&SYSTEM
  ibrav = 0, nat = 4, ntyp = 3
/
ATOMIC_SPECIES
K 39.10 K.upf
Co 58.93 Co.upf
W 183.84 W.upf
CELL_PARAMETERS angstrom
-1.497 2.947 4.645
1.497 -2.947 4.645
1.497 2.947 -4.645
ATOMIC_POSITIONS crystal
K 0.000 0.000 0.000
Co 0.312 0.812 0.500
Co 0.688 0.188 0.500
W 0.500 0.500 0.000
! Symmetry: No. 71
! Energy above the most stable polymorph in this dataset in meV/atom: 758
! Formation energy in meV/atom: 1327
! Calculated volume in Å³/f.u.: 82.0

---

Please write out number 2 again, unchanged.
! PBE KCo4W, optimized geometry; values from VASP
&SYSTEM
  ibrav = 0, nat = 6, ntyp = 3
/
ATOMIC_SPECIES
K 39.10 K.upf
Co 58.93 Co.upf
W 183.84 W.upf
CELL_PARAMETERS angstrom
0.000 3.453 3.453
3.453 0.000 3.453
3.453 3.453 0.000
ATOMIC_POSITIONS crystal
K 0.000 0.000 0.000
Co 0.376 0.376 0.376
Co 0.376 0.376 0.872
Co 0.376 0.872 0.376
Co 0.872 0.376 0.376
W 0.750 0.750 0.750
! Symmetry: No. 216
! Formation energy in meV/atom: 920
! Calculated volume in Å³/f.u.: 82.4

---

Question: Among the records above, which one has the highest formation energy?
Answer: number 6